No. 1
TlW2Cl | PBE | relaxed

Unit cell a=10.543 b=10.543 c=10.543 alpha=158.24 beta=158.24 gamma=30.96
Fractional positions:
Tl 0.000 0.000 0.000
Tl 0.750 0.250 0.500
W 0.162 0.625 0.037
W 0.375 0.412 0.537
W 0.588 0.125 0.963
W 0.875 0.838 0.463
Cl 0.250 0.750 0.500
Cl 0.500 0.500 0.000

Calculated values
Energy above the lowest structure with this stoichiometry ... 3.85 eV per formula unit
ΔE_f (raw) ... 1.25 eV/atom

=====

No. 2
Li2Cd3Hg5 | PBE | relaxed

Unit cell a=4.729 b=5.110 c=10.345 alpha=98.52 beta=90.69 gamma=117.10
Fractional positions:
Li 0.103 0.206 0.300
Li 0.897 0.794 0.700
Cd 0.290 0.585 0.892
Cd 0.500 0.000 0.500
Cd 0.710 0.415 0.108
Hg 0.000 0.000 0.000
Hg 0.197 0.397 0.596
Hg 0.411 0.821 0.207
Hg 0.589 0.179 0.793
Hg 0.803 0.603 0.404

Calculated values
ΔE_f ... -0.147 eV per atom

=====

no.,total DFT energy (no corrections) (eV/f.u.)
1,-25.10
2,-9.56